Compound: LuCuPb2
Source: OQMD via LeMat-Bulk
Functional: PBE
Structure: relaxed

```
LuCuPb2
1.0
4.692 -1.361 1.869
0.465 -1.672 4.934
1.072 -5.027 0.968
Lu Pb Cu
1 2 1
Direct
0.250 0.250 0.250
0.750 0.750 0.750
0.000 0.000 0.000
0.500 0.500 0.500
```

Output
E: -3.834 eV/atom
SG: F-43m